First-principles (PBE) data for a relaxed structure of La7Sn3O2, as listed in Alexandria.

```
La7Sn3O2
1.0
2.5532 -12.8697 0.0000
2.5532 12.8697 0.0000
0.0000 0.0000 4.9139
La Sn O
7 3 2
direct
0.0000 0.0000 0.0000
0.0956 0.9044 0.5000
0.2039 0.7961 0.0000
0.3981 0.6019 0.0000
0.6019 0.3981 0.0000
0.7961 0.2039 0.0000
0.9044 0.0956 0.5000
0.3076 0.6924 0.5000
0.5000 0.5000 0.5000
0.6924 0.3076 0.5000
0.1019 0.8981 0.0000
0.8981 0.1019 0.0000
```

Output
E_tot (eV/atom): -6.1002
E_form (uncorrected) (eV/f.u.): -16.8

First-principles (PBE) data for a relaxed structure of BaLa3Te4, as listed in Alexandria.

```
BaLa3Te4
1.0
9.4054 0.0000 0.0000
0.0000 13.2080 0.0000
0.0000 0.0000 4.6424
Ba La Te
2 6 8
direct
0.0000 0.0000 0.0000
0.5000 0.5000 0.0000
0.0000 0.5000 0.0000
0.2500 0.2500 0.5000
0.2500 0.7500 0.5000
0.5000 0.0000 0.0000
0.7500 0.2500 0.5000
0.7500 0.7500 0.5000
0.0000 0.2560 0.0000
0.0000 0.7440 0.0000
0.2372 0.5000 0.5000
0.2628 0.0000 0.5000
0.5000 0.2440 0.0000
0.5000 0.7560 0.0000
0.7372 0.0000 0.5000
0.7628 0.5000 0.5000
```

Output
E_tot (eV/atom): -5.2652
E_form (uncorrected) (eV/f.u.): -12.8